1.
A geometry-optimized TaAl2Cu structure. Source: the Alexandria database, functional PBE.

```
TaAl2Cu
1.0
1.4392 0.8309 8.7947
-1.4392 0.8309 8.7947
0.0000 -1.6618 8.7947
Ta Al Cu
1 2 1
Cartesian
0.0000 0.0000 0.0000 Ta
0.0000 0.0000 6.4550 Al
0.0000 0.0000 19.9290 Al
0.0000 0.0000 13.1920 Cu
```

Output
- symmetry = R-3m (166)
- formation energy from the elements (meV/atom) = -87
- total energy (eV/atom) = -5.945


2.
A geometry-optimized TaAlCu2 structure. Source: the Alexandria database, functional PBE.

```
TaAlCu2
1.0
3.8788 0.0000 0.0000
0.0000 3.8788 0.0000
0.0000 0.0000 3.8347
Ta Al Cu
1 1 2
Cartesian
0.0000 0.0000 0.0000 Ta
1.9394 1.9394 0.0000 Al
0.0000 1.9394 1.9174 Cu
1.9394 0.0000 1.9174 Cu
```

Output
- symmetry = P4/mmm (123)
- formation energy from the elements (meV/atom) = -30
- total energy (eV/atom) = -5.977


3.
A geometry-optimized TaAl3Cu structure. Source: the Alexandria database, functional PBE.

```
TaAl3Cu
1.0
4.4498 0.0000 0.0000
0.0000 4.4498 0.0000
0.0000 0.0000 4.4498
Ta Al Cu
1 3 1
Cartesian
0.0000 0.0000 0.0000 Ta
0.0000 2.2249 2.2249 Al
2.2249 0.0000 2.2249 Al
2.2249 2.2249 0.0000 Al
2.2249 2.2249 2.2249 Cu
```

Output
- symmetry = Pm-3m (221)
- formation energy from the elements (meV/atom) = 620
- total energy (eV/atom) = -4.815
- polymorph energy (0 for the lowest one) (meV/atom) = 0


4.
A geometry-optimized Ta2AlCu2 structure. Source: the Alexandria database, functional PBE.

```
Ta2AlCu2
1.0
6.3199 0.0000 0.0000
0.0000 6.3199 0.0000
0.0000 0.0000 3.8311
Ta Al Cu
4 2 4
Cartesian
1.0567 2.1033 0.0000 Ta
2.1033 5.2632 0.0000 Ta
4.2166 1.0567 0.0000 Ta
5.2632 4.2166 0.0000 Ta
0.0000 0.0000 1.9155 Al
3.1599 3.1599 1.9155 Al
0.8441 4.0041 1.9155 Cu
2.3158 0.8441 1.9155 Cu
4.0041 5.4758 1.9155 Cu
5.4758 2.3158 1.9155 Cu
```

Output
- symmetry = P4/mbm (127)
- formation energy from the elements (meV/atom) = 38
- total energy (eV/atom) = -7.090


Question: The highest formation energy from the elements belongs to which entry?
Answer: TaAl3Cu


Question: Which value of formation energy from the elements does entry 1 give?
Answer: -87 meV/atom


Question: The highest formation energy from the elements belongs to which entry?
Answer: TaAl3Cu


Please write out number 3 again, unchanged.
A geometry-optimized TaAl3Cu structure. Source: the Alexandria database, functional PBE.

```
TaAl3Cu
1.0
4.4498 0.0000 0.0000
0.0000 4.4498 0.0000
0.0000 0.0000 4.4498
Ta Al Cu
1 3 1
Cartesian
0.0000 0.0000 0.0000 Ta
0.0000 2.2249 2.2249 Al
2.2249 0.0000 2.2249 Al
2.2249 2.2249 0.0000 Al
2.2249 2.2249 2.2249 Cu
```

Output
- symmetry = Pm-3m (221)
- formation energy from the elements (meV/atom) = 620
- total energy (eV/atom) = -4.815
- polymorph energy (0 for the lowest one) (meV/atom) = 0